A plane-wave DFT calculation with SCAN was carried out for a crystal of CsVTeO6 relaxed with PBEsol.

POSCAR file:
```
CsVTeO6
1.0
-3.505 3.594 5.020
3.505 -3.594 5.020
3.505 3.594 -5.020
Cs V Te O
2 2 2 12
Direct
0.362 0.112 0.250
0.638 0.888 0.750
0.000 0.000 0.500
0.000 0.500 0.000
0.000 0.500 0.500
0.500 0.500 0.000
0.048 0.798 0.250
0.060 0.424 0.238
0.060 0.822 0.636
0.313 0.178 0.738
0.313 0.576 0.136
0.330 0.580 0.750
0.670 0.420 0.250
0.687 0.424 0.864
0.687 0.822 0.262
0.940 0.178 0.364
0.940 0.576 0.762
0.952 0.202 0.750
```

Values from the calculation:
Formation energy from raw total energies = -1.885 eV/atom